{"formula": "Tb3PrCo8", "functional": "PBE", "state": "optimized geometry", "lattice": [[-2.5555, -3.2732, 2.9769], [-0.6435, -4.8438, -1.4934], [6.0708, -4.8245, 4.2917]], "species": ["Tb", "Tb", "Tb", "Pr", "Co", "Co", "Co", "Co", "Co", "Co", "Co", "Co"], "frac_coords": [[0.3752, 0.3752, 0.8744], [0.0002, 0.0002, 0.9995], [0.4997, 0.4997, 0.5008], [0.8748, 0.8748, 0.3755], [0.9411, 0.4380, 0.1828], [0.4325, 0.9379, 0.6917], [0.4380, 0.4380, 0.1828], [0.9379, 0.9379, 0.6917], [0.1870, 0.1870, 0.4391], [0.6877, 0.6877, 0.9370], [0.4380, 0.9411, 0.1828], [0.9379, 0.4325, 0.6917]], "formation_enthalpy_0k_ev_per_atom": -0.13}

***

{"formula": "Mg6Zn3Cd", "functional": "PBE", "state": "optimized geometry", "lattice": [[-2.6369, -3.6170, 1.5525], [-4.3131, 0.0737, -7.1536], [8.2341, -6.4407, -1.0203]], "species": ["Mg", "Mg", "Mg", "Mg", "Mg", "Mg", "Mg", "Mg", "Mg", "Mg", "Mg", "Mg", "Zn", "Zn", "Zn", "Zn", "Zn", "Zn", "Cd", "Cd"], "frac_coords": [[0.2500, 0.4533, 0.0728], [0.7500, 0.5467, 0.9272], [0.2500, 0.1462, 0.1787], [0.7500, 0.8538, 0.8213], [0.2500, 0.6570, 0.6692], [0.7500, 0.3430, 0.3308], [0.2500, 0.2765, 0.5022], [0.7500, 0.7235, 0.4978], [0.2500, 0.8214, 0.2763], [0.7500, 0.1786, 0.7237], [0.2500, 0.0905, 0.8806], [0.7500, 0.9095, 0.1194], [0.2500, 0.5324, 0.3615], [0.7500, 0.4676, 0.6385], [0.2500, 0.3983, 0.7882], [0.7500, 0.6017, 0.2118], [0.2500, 0.7752, 0.9674], [0.7500, 0.2248, 0.0326], [0.2500, 0.9602, 0.5841], [0.7500, 0.0398, 0.4158]], "formation_enthalpy_0k_ev_per_atom": -0.07}

***

{"formula": "Tl2CrTc", "functional": "PBE", "state": "optimized geometry", "lattice": [[-1.2383, -4.3946, -0.6588], [2.1555, -1.1930, 3.9001], [-3.0038, 0.5713, 1.8349]], "species": ["Cr", "Tc", "Tl", "Tl"], "frac_coords": [[0.5000, 0.0000, 0.5000], [0.0000, 0.5000, 0.5000], [0.0000, 0.0000, 0.0000], [0.5000, 0.5000, 0.0000]], "formation_enthalpy_0k_ev_per_atom": 0.75, "e_above_lowest_polymorph_mev_per_atom": 334}

***

{"formula": "Hf2CuRh2", "functional": "PBE", "state": "optimized geometry", "lattice": [[7.2892, 0.0000, 0.0000], [0.0000, 7.2892, 0.0000], [0.0000, 0.0000, 3.3033]], "species": ["Rh", "Rh", "Rh", "Rh", "Hf", "Hf", "Hf", "Hf", "Cu", "Cu"], "frac_coords": [[0.3610, 0.8610, 0.0000], [0.8610, 0.6390, 0.0000], [0.6390, 0.1390, 0.0000], [0.1390, 0.3610, 0.0000], [0.1632, 0.6632, 0.5000], [0.6632, 0.8368, 0.5000], [0.8368, 0.3368, 0.5000], [0.3368, 0.1632, 0.5000], [0.0000, 0.0000, 0.0000], [0.5000, 0.5000, 0.0000]], "formation_enthalpy_0k_ev_per_atom": -0.57, "e_above_lowest_polymorph_mev_per_atom": 0}

***

{"formula": "CeScS3", "functional": "PBE", "state": "optimized geometry", "lattice": [[6.4980, 0.0000, 0.0000], [0.0000, 7.1750, 0.0000], [0.0000, 0.0000, 9.5412]], "species": ["Ce", "Ce", "Ce", "Ce", "Sc", "Sc", "Sc", "Sc", "S", "S", "S", "S", "S", "S", "S", "S", "S", "S", "S", "S"], "frac_coords": [[0.9619, 0.8990, 0.7500], [0.4619, 0.6010, 0.2500], [0.5381, 0.3990, 0.7500], [0.0381, 0.1010, 0.2500], [0.5000, 0.0000, 0.5000], [0.0000, 0.5000, 0.5000], [0.0000, 0.5000, 0.0000], [0.5000, 0.0000, 0.0000], [0.8232, 0.1864, 0.5628], [0.3232, 0.3136, 0.4372], [0.6768, 0.6864, 0.9372], [0.1768, 0.8136, 0.0628], [0.1768, 0.8136, 0.4372], [0.6768, 0.6864, 0.5628], [0.3232, 0.3136, 0.0628], [0.8232, 0.1864, 0.9372], [0.6313, 0.9610, 0.2500], [0.1313, 0.5390, 0.7500], [0.8687, 0.4610, 0.2500], [0.3687, 0.0390, 0.7500]], "formation_energy_uncorrected_ev_per_atom": -1.967, "e_above_lowest_polymorph_mev_per_atom": 0}

***

{"formula": "PrHo2RuN4", "functional": "PBE", "state": "optimized geometry", "lattice": [[3.4468, 0.0000, 0.0000], [-1.7234, 5.8408, 0.0000], [0.0000, 0.0000, 11.5864]], "species": ["Pr", "Pr", "Ho", "Ho", "Ho", "Ho", "Ru", "Ru", "N", "N", "N", "N", "N", "N", "N", "N"], "frac_coords": [[0.1173, 0.2345, 0.7500], [0.8827, 0.7655, 0.2500], [0.3690, 0.7380, 0.5424], [0.6310, 0.2620, 0.0424], [0.6310, 0.2620, 0.4576], [0.3690, 0.7380, 0.9576], [0.8546, 0.7091, 0.7500], [0.1454, 0.2909, 0.2500], [0.2662, 0.5323, 0.1256], [0.7338, 0.4677, 0.6256], [0.7338, 0.4677, 0.8744], [0.2662, 0.5323, 0.3744], [0.0000, 0.0000, 0.5000], [0.0000, 0.0000, 0.0000], [0.4399, 0.8798, 0.7500], [0.5601, 0.1202, 0.2500]], "formation_energy_uncorrected_ev_per_atom": -1.027}